*i*
Density functional theory data (PBE-GGA) for a relaxed structure of Ga2WI.

The structure belongs to space group I-42d (No. 122); the cell edges are 6.281, 6.281 and 13.073 Å and the angles 90.00°, 90.00° and 90.00°. The asymmetric unit holds Ga at (0.175, 0.250, 0.125), W at (0.000, 0.000, 0.000) and I at (0.000, 0.000, 0.500).

As for the calculated volume: 32.2 A^3/atom. Its density of states at the Fermi level is 3.24 states/eV/f.u.

---

*ii*
Density functional theory data (PBE-GGA) for a relaxed structure of Ga2WI.

The structure belongs to space group Fm-3m (No. 225); the cell edges are 6.809, 6.809 and 6.809 Å and the angles 90.00°, 90.00° and 90.00°. The asymmetric unit holds Ga at (0.250, 0.250, 0.250), W at (0.000, 0.000, 0.000) and I at (0.000, 0.000, 0.500).

As for the calculated volume: 19.7 A^3/atom. Its density of states at the Fermi level is 2.91 states/eV/f.u.

---

Which of them is most stable, and which least? Most stable: *i*; least stable: *ii*.